1.
{
  "formula": "CsTl4Hg2",
  "functional": "PBE",
  "state": "relaxed",
  "delta_e_f_ev_per_atom": -0.10,
  "mass_density_g_cm3": 9.22,
  "relative_energy_mev_per_atom": 24,
  "cell": [[9.646, 0.000, 0.000], [0.000, 9.646, 0.000], [0.000, 0.000, 5.234]],
  "species": ["Cs", "Cs", "Tl", "Tl", "Tl", "Tl", "Tl", "Tl", "Tl", "Tl", "Hg", "Hg", "Hg", "Hg"],
  "fractional_positions": [[0.000, 0.000, 0.000], [0.500, 0.500, 0.500], [0.086, 0.346, 0.500], [0.154, 0.586, 0.000], [0.346, 0.086, 0.500], [0.414, 0.846, 0.000], [0.586, 0.154, 0.000], [0.654, 0.914, 0.500], [0.846, 0.414, 0.000], [0.914, 0.654, 0.500], [0.210, 0.790, 0.500], [0.290, 0.290, 0.000], [0.710, 0.710, 0.000], [0.790, 0.210, 0.500]]
}

=====

2.
{
  "formula": "CsTl12Hg7",
  "functional": "PBE",
  "state": "relaxed",
  "delta_e_f_ev_per_atom": -0.01,
  "mass_density_g_cm3": 10.25,
  "cell": [[7.871, 4.544, 3.011], [-7.871, 4.544, 3.011], [0.000, -9.088, 3.011]],
  "species": ["Cs", "Tl", "Tl", "Tl", "Tl", "Tl", "Tl", "Tl", "Tl", "Tl", "Tl", "Tl", "Tl", "Hg", "Hg", "Hg", "Hg", "Hg", "Hg", "Hg"],
  "fractional_positions": [[0.000, 0.000, 0.000], [0.051, 0.764, 0.285], [0.152, 0.520, 0.461], [0.236, 0.715, 0.949], [0.285, 0.051, 0.764], [0.461, 0.152, 0.520], [0.480, 0.539, 0.848], [0.520, 0.461, 0.152], [0.539, 0.848, 0.480], [0.715, 0.949, 0.236], [0.764, 0.285, 0.051], [0.848, 0.480, 0.539], [0.949, 0.236, 0.715], [0.131, 0.190, 0.493], [0.190, 0.493, 0.131], [0.493, 0.131, 0.190], [0.500, 0.500, 0.500], [0.507, 0.869, 0.810], [0.810, 0.507, 0.869], [0.869, 0.810, 0.507]]
}

=====

3.
{
  "formula": "Cs2TlHg16",
  "functional": "PBE",
  "state": "relaxed",
  "delta_e_f_ev_per_atom": -0.12,
  "mass_density_g_cm3": 10.17,
  "cell": [[5.504, 3.178, 5.724], [-5.504, 3.178, 5.724], [0.000, -6.356, 5.724]],
  "species": ["Cs", "Cs", "Tl", "Hg", "Hg", "Hg", "Hg", "Hg", "Hg", "Hg", "Hg", "Hg", "Hg", "Hg", "Hg", "Hg", "Hg", "Hg", "Hg"],
  "fractional_positions": [[0.000, 0.000, 0.000], [0.325, 0.325, 0.325], [0.745, 0.745, 0.745], [0.023, 0.023, 0.493], [0.023, 0.493, 0.023], [0.139, 0.666, 0.666], [0.307, 0.307, 0.797], [0.307, 0.797, 0.307], [0.361, 0.656, 0.949], [0.361, 0.949, 0.656], [0.493, 0.023, 0.023], [0.551, 0.551, 0.551], [0.656, 0.361, 0.949], [0.656, 0.949, 0.361], [0.666, 0.139, 0.666], [0.666, 0.666, 0.139], [0.797, 0.307, 0.307], [0.949, 0.361, 0.656], [0.949, 0.656, 0.361]]
}

=====

Please write out number 2 again, unchanged.
{
  "formula": "CsTl12Hg7",
  "functional": "PBE",
  "state": "relaxed",
  "delta_e_f_ev_per_atom": -0.01,
  "mass_density_g_cm3": 10.25,
  "cell": [[7.871, 4.544, 3.011], [-7.871, 4.544, 3.011], [0.000, -9.088, 3.011]],
  "species": ["Cs", "Tl", "Tl", "Tl", "Tl", "Tl", "Tl", "Tl", "Tl", "Tl", "Tl", "Tl", "Tl", "Hg", "Hg", "Hg", "Hg", "Hg", "Hg", "Hg"],
  "fractional_positions": [[0.000, 0.000, 0.000], [0.051, 0.764, 0.285], [0.152, 0.520, 0.461], [0.236, 0.715, 0.949], [0.285, 0.051, 0.764], [0.461, 0.152, 0.520], [0.480, 0.539, 0.848], [0.520, 0.461, 0.152], [0.539, 0.848, 0.480], [0.715, 0.949, 0.236], [0.764, 0.285, 0.051], [0.848, 0.480, 0.539], [0.949, 0.236, 0.715], [0.131, 0.190, 0.493], [0.190, 0.493, 0.131], [0.493, 0.131, 0.190], [0.500, 0.500, 0.500], [0.507, 0.869, 0.810], [0.810, 0.507, 0.869], [0.869, 0.810, 0.507]]
}

=====

What did the first record say?
{
  "formula": "CsTl4Hg2",
  "functional": "PBE",
  "state": "relaxed",
  "delta_e_f_ev_per_atom": -0.10,
  "mass_density_g_cm3": 9.22,
  "relative_energy_mev_per_atom": 24,
  "cell": [[9.646, 0.000, 0.000], [0.000, 9.646, 0.000], [0.000, 0.000, 5.234]],
  "species": ["Cs", "Cs", "Tl", "Tl", "Tl", "Tl", "Tl", "Tl", "Tl", "Tl", "Hg", "Hg", "Hg", "Hg"],
  "fractional_positions": [[0.000, 0.000, 0.000], [0.500, 0.500, 0.500], [0.086, 0.346, 0.500], [0.154, 0.586, 0.000], [0.346, 0.086, 0.500], [0.414, 0.846, 0.000], [0.586, 0.154, 0.000], [0.654, 0.914, 0.500], [0.846, 0.414, 0.000], [0.914, 0.654, 0.500], [0.210, 0.790, 0.500], [0.290, 0.290, 0.000], [0.710, 0.710, 0.000], [0.790, 0.210, 0.500]]
}